{
  "formula": "Ho4CdNi",
  "functional": "GGA-PBEsol",
  "state": "optimized geometry",
  "cell": [[9.3159, 0.0000, 0.0000], [4.6580, 8.0678, 0.0000], [4.6580, 2.6893, 7.6064]],
  "species": ["Ho", "Ho", "Ho", "Ho", "Ho", "Ho", "Ho", "Ho", "Ho", "Ho", "Ho", "Ho", "Ho", "Ho", "Ho", "Ho", "Cd", "Cd", "Cd", "Cd", "Ni", "Ni", "Ni", "Ni"],
  "frac_coords": [[0.6513, 0.0462, 0.6513], [0.0636, 0.0636, 0.4364], [0.4364, 0.0636, 0.0636], [0.0636, 0.4364, 0.4364], [0.0462, 0.6513, 0.6513], [0.6513, 0.6513, 0.0462], [0.4364, 0.0636, 0.4364], [0.1891, 0.8109, 0.8109], [0.6513, 0.6513, 0.6513], [0.8109, 0.1891, 0.8109], [0.8109, 0.8109, 0.1891], [0.8109, 0.1891, 0.1891], [0.1891, 0.8109, 0.1891], [0.1891, 0.1891, 0.8109], [0.0636, 0.4364, 0.0636], [0.4364, 0.4364, 0.0636], [0.4191, 0.7427, 0.4191], [0.4191, 0.4191, 0.4191], [0.7427, 0.4191, 0.4191], [0.4191, 0.4191, 0.7427], [0.8574, 0.8574, 0.8574], [0.4277, 0.8574, 0.8574], [0.8574, 0.8574, 0.4277], [0.8574, 0.4277, 0.8574]],
  "vol_a3_per_cell": 571.70,
  "spacegroup": "F-43m",
  "m_tot_mub_per_cell": 0.00,
  "delta_e_f_mev_per_atom": -318
}



{
  "formula": "Tl2P",
  "functional": "GGA-PBEsol",
  "state": "optimized geometry",
  "cell": [[4.0696, 0.0000, 0.0000], [0.0000, 5.8724, 0.0000], [0.0000, 0.0000, 6.8012]],
  "species": ["Tl", "Tl", "Tl", "Tl", "P", "P"],
  "frac_coords": [[0.5000, 0.7099, 0.8733], [0.5000, 0.2901, 0.1267], [0.0000, 0.7901, 0.3733], [0.0000, 0.2099, 0.6267], [0.0000, 0.0000, 0.0000], [0.5000, 0.5000, 0.5000]],
  "polymorph_energy_ev_per_atom": 0.1494,
  "vol_a3_per_cell": 162.54,
  "spacegroup": "Pnnm",
  "m_tot_mub_per_cell": 0.00,
  "delta_e_f_mev_per_atom": 218
}